DFT (PBE) results for a relaxed structure of ScPd2Pt8.

## Properties
**Electronic total energy**: -0.229 hartree per atom
**N(E_F)**: 0.986 states/eV/atom
**Energy of formation from the pure elements**: -0.321 eV/atom

Cell lengths 3.8910, 7.8260, 11.9767 Å; angles 90.00, 90.00, 90.00 degrees
Last column: nearest neighbours and their distance in Å.
Space group Immm (No. 71)
Symmetry-distinct sites (fractional):
1 Sc 0.0000 0.0000 0.0000 x2  12 Pt 2.77-2.81
2 Pd 0.0000 0.0000 0.3426 x4  10 Pt 2.68-2.89
3 Pt 0.0000 0.2430 0.5000 x4  2 Pd 2.68, 6 Pt 2.79-2.81, 2 Sc 2.80
4 Pt 0.0000 0.2517 0.1671 x8  3 Pd 2.75-2.88, 7 Pt 2.77-2.80, 1 Sc 2.81
5 Pt 0.0000 0.5000 0.3359 x4  2 Sc 2.77, 8 Pt 2.77-2.81, 2 Pd 2.89